1.
RbAlSnPd2 | PBE | optimized geometry

* density: 5192 kg/m3
* energy of formation from the pure elements: 23 kJ/mol of atoms

a = 5.238 Å, b = 5.238 Å, c = 5.177 Å
α = 90.00°, β = 90.00°, γ = 90.00°
Fractional coordinates of all 5 atoms:
Rb  0.000  0.000  0.000
Al  0.500  0.500  0.000
Sn  0.500  0.500  0.500
Pd  0.000  0.500  0.500
Pd  0.500  0.000  0.500

=====

2.
RbSr2AlPd | PBE | optimized geometry

* density: 3504 kg/m3
* energy of formation from the pure elements: -17 kJ/mol of atoms
* energy relative to the lowest polymorph listed for this composition: 0 meV/atom

a = 6.092 Å, b = 6.092 Å, c = 5.033 Å
α = 90.00°, β = 90.00°, γ = 90.00°
Fractional coordinates of all 5 atoms:
Rb  0.000  0.000  0.000
Sr  0.000  0.500  0.500
Sr  0.500  0.000  0.500
Al  0.500  0.500  0.000
Pd  0.500  0.500  0.500

=====

3.
RbSr2AlPd | PBE | optimized geometry

* density: 2759 kg/m3
* energy of formation from the pure elements: 49 kJ/mol of atoms
* energy relative to the lowest polymorph listed for this composition: 685 meV/atom

a = 6.186 Å, b = 6.186 Å, c = 6.198 Å
α = 90.00°, β = 90.00°, γ = 90.00°
Fractional coordinates of all 5 atoms:
Rb  0.000  0.000  0.000
Sr  0.000  0.500  0.500
Sr  0.500  0.000  0.500
Al  0.000  0.000  0.500
Pd  0.500  0.500  0.000

=====

Q: The highest energy of formation from the pure elements belongs to which entry?
A: number 3